DFT (PBE) results for a geometry-optimized YCrN2 structure.

Computed properties:
ρ, g/cm3: 6.5
Total magnetization, μB/cell: 1.0
Formation energy (no corrections), eV per formula unit: -0.48

Cell and atoms, written as CIF:
```
data_YCrN2
_chemical_formula_sum 'Y1 Cr1 N2'
_space_group_name_H-M_alt 'P 1'
_space_group_IT_number 1
_cell_length_a 3.937
_cell_length_b 3.937
_cell_length_c 3.937
_cell_angle_alpha 60.00
_cell_angle_beta 60.00
_cell_angle_gamma 60.00
loop_
_space_group_symop_operation_xyz
'x,y,z'
loop_
_atom_site_label
_atom_site_type_symbol
_atom_site_fract_x
_atom_site_fract_y
_atom_site_fract_z
Y1 Y 0.500 0.500 0.500
Cr1 Cr 0.000 0.000 0.000
N1 N 0.250 0.250 0.250
N2 N 0.750 0.750 0.750
```

---

DFT (PBE) results for a geometry-optimized Y2CrN3 structure.

Computed properties:
ρ, g/cm3: 5.8
Total magnetization, μB/cell: 1.2
Formation energy (no corrections), eV per formula unit: -7.32
Distance to the lowest polymorph of the same formula, kJ per mole of atoms: 0.45

Cell and atoms, written as CIF:
```
data_Y2CrN3
_chemical_formula_sum 'Y2 Cr1 N3'
_space_group_name_H-M_alt 'P 1'
_space_group_IT_number 1
_cell_length_a 6.695
_cell_length_b 3.371
_cell_length_c 12.418
_cell_angle_alpha 90.00
_cell_angle_beta 21.96
_cell_angle_gamma 75.42
loop_
_space_group_symop_operation_xyz
'x,y,z'
loop_
_atom_site_label
_atom_site_type_symbol
_atom_site_fract_x
_atom_site_fract_y
_atom_site_fract_z
Y1 Y 0.000 0.000 0.649
Y2 Y 0.000 0.000 0.351
Cr1 Cr 0.000 0.000 0.000
N1 N 0.000 0.500 0.500
N2 N 0.000 0.000 0.839
N3 N 0.000 0.000 0.161
```

---

DFT (PBE) results for a geometry-optimized Y2Cr2N structure.

Computed properties:
ρ, g/cm3: 5.9
Total magnetization, μB/cell: 7.2
Formation energy (no corrections), eV per formula unit: 2.43
Distance to the lowest polymorph of the same formula, kJ per mole of atoms: 0.00

Cell and atoms, written as CIF:
```
data_Y2Cr2N
_chemical_formula_sum 'Y4 Cr4 N2'
_space_group_name_H-M_alt 'P 1'
_space_group_IT_number 1
_cell_length_a 5.630
_cell_length_b 5.630
_cell_length_c 5.254
_cell_angle_alpha 90.00
_cell_angle_beta 90.00
_cell_angle_gamma 90.00
loop_
_space_group_symop_operation_xyz
'x,y,z'
loop_
_atom_site_label
_atom_site_type_symbol
_atom_site_fract_x
_atom_site_fract_y
_atom_site_fract_z
Y1 Y 0.171 0.671 0.500
Y2 Y 0.671 0.829 0.500
Y3 Y 0.829 0.329 0.500
Y4 Y 0.329 0.171 0.500
Cr1 Cr 0.320 0.820 0.000
Cr2 Cr 0.820 0.680 0.000
Cr3 Cr 0.680 0.180 0.000
Cr4 Cr 0.180 0.320 0.000
N1 N 0.000 0.000 0.000
N2 N 0.500 0.500 0.000
```

---

DFT (PBE) results for a geometry-optimized YCrN2 structure.

Computed properties:
ρ, g/cm3: 5.0
Total magnetization, μB/cell: 4.0
Formation energy (no corrections), eV per formula unit: -3.34

Cell and atoms, written as CIF:
```
data_YCrN2
_chemical_formula_sum 'Y2 Cr2 N4'
_space_group_name_H-M_alt 'P 1'
_space_group_IT_number 1
_cell_length_a 4.779
_cell_length_b 4.779
_cell_length_c 5.937
_cell_angle_alpha 66.27
_cell_angle_beta 66.27
_cell_angle_gamma 90.00
loop_
_space_group_symop_operation_xyz
'x,y,z'
loop_
_atom_site_label
_atom_site_type_symbol
_atom_site_fract_x
_atom_site_fract_y
_atom_site_fract_z
Y1 Y 0.000 0.000 0.000
Y2 Y 0.750 0.250 0.500
Cr1 Cr 0.500 0.500 0.000
Cr2 Cr 0.250 0.750 0.500
N1 N 0.555 0.125 0.250
N2 N 0.195 0.625 0.250
N3 N 0.375 0.445 0.750
N4 N 0.875 0.805 0.750
```

---

DFT (PBE) results for a geometry-optimized YCrN structure.

Computed properties:
ρ, g/cm3: 5.6
Total magnetization, μB/cell: 0.0
Formation energy (no corrections), eV per formula unit: -0.15

Cell and atoms, written as CIF:
```
data_YCrN
_chemical_formula_sum 'Y2 Cr2 N2'
_space_group_name_H-M_alt 'P 1'
_space_group_IT_number 1
_cell_length_a 3.242
_cell_length_b 3.240
_cell_length_c 10.166
_cell_angle_alpha 90.00
_cell_angle_beta 90.00
_cell_angle_gamma 120.02
loop_
_space_group_symop_operation_xyz
'x,y,z'
loop_
_atom_site_label
_atom_site_type_symbol
_atom_site_fract_x
_atom_site_fract_y
_atom_site_fract_z
N1 N 0.610 0.220 0.000
N2 N 0.279 0.558 0.500
Cr1 Cr 0.612 0.225 0.404
Cr2 Cr 0.612 0.225 0.596
Y1 Y 0.277 0.553 0.851
Y2 Y 0.277 0.553 0.149
```

---

DFT (PBE) results for a geometry-optimized Y2CrN3 structure.

Computed properties:
ρ, g/cm3: 5.8
Total magnetization, μB/cell: 0.0
Formation energy (no corrections), eV per formula unit: -7.35
Distance to the lowest polymorph of the same formula, kJ per mole of atoms: 0.00

Cell and atoms, written as CIF:
```
data_Y2CrN3
_chemical_formula_sum 'Y8 Cr4 N12'
_space_group_name_H-M_alt 'P 1'
_space_group_IT_number 1
_cell_length_a 5.867
_cell_length_b 10.539
_cell_length_c 11.435
_cell_angle_alpha 90.00
_cell_angle_beta 92.02
_cell_angle_gamma 153.92
loop_
_space_group_symop_operation_xyz
'x,y,z'
loop_
_atom_site_label
_atom_site_type_symbol
_atom_site_fract_x
_atom_site_fract_y
_atom_site_fract_z
Y1 Y 0.458 0.026 0.854
Y2 Y 0.542 0.568 0.646
Y3 Y 0.542 0.974 0.146
Y4 Y 0.458 0.432 0.354
Y5 Y 0.532 0.874 0.572
Y6 Y 0.468 0.342 0.928
Y7 Y 0.468 0.126 0.428
Y8 Y 0.532 0.658 0.072
Cr1 Cr 0.579 0.286 0.673
Cr2 Cr 0.421 0.706 0.827
Cr3 Cr 0.421 0.714 0.327
Cr4 Cr 0.579 0.294 0.173
N1 N 0.000 0.625 0.750
N2 N 0.000 0.375 0.250
N3 N 0.605 0.124 0.631
N4 N 0.395 0.520 0.869
N5 N 0.395 0.876 0.369
N6 N 0.605 0.480 0.131
N7 N 0.486 0.147 0.037
N8 N 0.514 0.661 0.463
N9 N 0.514 0.853 0.963
N10 N 0.486 0.339 0.537
N11 N 0.000 0.995 0.750
N12 N 0.000 0.005 0.250
```